## w
VASP calculation (PBE) on crystalline Hf5TiIn4 at its relaxed geometry.

```
Hf5TiIn4
1.0
3.0993 0.0000 0.0000
0.0000 3.0993 0.0000
0.0000 0.0000 22.2518
Hf Ti In
5 1 4
direct
0.0000 0.0000 0.0000
0.0000 0.0000 0.2005
0.0000 0.0000 0.4071
0.0000 0.0000 0.5929
0.0000 0.0000 0.7995
0.5000 0.5000 0.5000
0.5000 0.5000 0.1003
0.5000 0.5000 0.3016
0.5000 0.5000 0.6984
0.5000 0.5000 0.8997
```

Computed properties:
SG: P4/mmm, No. 123

## x
VASP calculation (PBE) on crystalline Hf5TiIn4 at its relaxed geometry.

```
Hf5TiIn4
1.0
7.8704 -1.6182 0.0000
7.8704 1.6182 0.0000
-0.8656 0.0000 8.9698
Hf Ti In
5 1 4
direct
0.0000 0.0000 0.0000
0.3087 0.3087 0.9082
0.3444 0.3444 0.2632
0.6556 0.6556 0.7368
0.6913 0.6913 0.0918
0.0000 0.0000 0.5000
0.1777 0.1777 0.4176
0.4682 0.4682 0.7375
0.5318 0.5318 0.2625
0.8223 0.8223 0.5824
```

Computed properties:
SG: C2/m, No. 12

Stability verdict: w, ahead by 261 meV/atom

## w
VASP calculation (PBE) on crystalline Hf2Ti15In2 at its relaxed geometry.

```
Hf2Ti15In2
1.0
4.6344 2.6757 4.7996
-4.6344 2.6757 4.7996
0.0000 -5.3513 4.7996
Hf Ti In
2 15 2
direct
0.1012 0.1012 0.1012
0.8988 0.8988 0.8988
0.0000 0.0000 0.5000
0.0000 0.3020 0.6980
0.0000 0.5000 0.0000
0.0000 0.6980 0.3020
0.1728 0.6238 0.6238
0.3020 0.0000 0.6980
0.3020 0.6980 0.0000
0.3762 0.3762 0.8272
0.3762 0.8272 0.3762
0.5000 0.0000 0.0000
0.6238 0.1728 0.6238
0.6238 0.6238 0.1728
0.6980 0.0000 0.3020
0.6980 0.3020 0.0000
0.8272 0.3762 0.3762
0.3226 0.3226 0.3226
0.6774 0.6774 0.6774
```

Computed properties:
SG: R-3m, No. 166

## x
VASP calculation (PBE) on crystalline Hf2Ti15In2 at its relaxed geometry.

```
Hf2Ti15In2
1.0
4.6149 2.6644 4.7511
-4.6149 2.6644 4.7511
0.0000 -5.3288 4.7511
Hf Ti In
2 15 2
direct
0.1737 0.1737 0.1737
0.8263 0.8263 0.8263
0.0000 0.5000 0.5000
0.1271 0.1271 0.6614
0.1271 0.6614 0.1271
0.1899 0.5000 0.8101
0.1899 0.8101 0.5000
0.3386 0.8729 0.8729
0.5000 0.0000 0.5000
0.5000 0.1899 0.8101
0.5000 0.5000 0.0000
0.5000 0.8101 0.1899
0.6614 0.1271 0.1271
0.8101 0.1899 0.5000
0.8101 0.5000 0.1899
0.8729 0.3386 0.8729
0.8729 0.8729 0.3386
0.3971 0.3971 0.3971
0.6029 0.6029 0.6029
```

Computed properties:
SG: R-3m, No. 166

Stability verdict: x, ahead by 174 meV/atom

## w
VASP calculation (PBE) on crystalline Hf6TiIn at its relaxed geometry.

```
Hf6TiIn
1.0
4.3749 0.0000 0.0000
0.0000 4.3749 0.0000
0.0000 0.0000 8.9957
Hf Ti In
6 1 1
direct
0.0000 0.0000 0.0000
0.0000 0.0000 0.5000
0.0000 0.5000 0.2412
0.0000 0.5000 0.7588
0.5000 0.0000 0.2412
0.5000 0.0000 0.7588
0.5000 0.5000 0.0000
0.5000 0.5000 0.5000
```

Computed properties:
SG: P4/mmm, No. 123

## x
VASP calculation (PBE) on crystalline Hf6TiIn at its relaxed geometry.

```
Hf6TiIn
1.0
5.5669 0.0000 0.0000
-0.0671 5.5751 0.0000
-0.0828 -0.0752 5.5764
Hf Ti In
6 1 1
direct
0.0065 0.4822 0.2525
0.2476 0.9939 0.0240
0.4848 0.7522 0.5063
0.5152 0.2478 0.4937
0.7524 0.0061 0.9760
0.9935 0.5178 0.7475
0.0000 0.0000 0.5000
0.5000 0.5000 0.0000
```

Computed properties:
SG: P-1, No. 2

Stability verdict: w, ahead by 71 meV/atom